1.
First-principles (GGA-PBEsol) data for a relaxed structure of SiTeW2, as listed in Alexandria via LeMat-Bulk.

Output
distance to the lowest polymorph of the same formula	0.00	eV per formula unit
SG	Imm2, No. 44
crystal system	orthorhombic
formation energy from raw total energies	358	meV/atom

a = 3.278 Å, b = 3.535 Å, c = 6.504 Å
α = 105.77°, β = 104.59°, γ = 90.00°
Positions (direct):
Te 0.294 0.794 0.588
Si 0.541 0.541 0.082
W 0.684 0.184 0.368
W 0.981 0.981 0.962



2.
First-principles (GGA-PBEsol) data for a relaxed structure of LaMg2, as listed in Alexandria via LeMat-Bulk.

Output
SG	I4_1/amd, No. 141
DFT formation energy	-7	kJ/mol of atoms
crystal system	tetragonal

a = 4.807 Å, b = 4.807 Å, c = 14.210 Å
α = 99.74°, β = 99.74°, γ = 90.00°
Positions (direct):
Mg 0.824 0.324 0.649
Mg 0.751 0.751 0.503
Mg 0.249 0.249 0.497
La 0.091 0.091 0.181
Mg 0.574 0.574 0.149
La 0.909 0.909 0.819
Mg 0.001 0.501 0.003
Mg 0.676 0.176 0.351
La 0.159 0.659 0.319
Mg 0.426 0.426 0.851
La 0.341 0.841 0.681
Mg 0.499 0.999 0.997



3.
First-principles (GGA-PBEsol) data for a relaxed structure of V2O5, as listed in Alexandria via LeMat-Bulk.

Output
SG	Pbam, No. 55
crystal system	orthorhombic
formation energy from raw total energies	-2232	meV/atom

a = 3.237 Å, b = 5.162 Å, c = 11.648 Å
α = 90.00°, β = 90.00°, γ = 90.00°
Positions (direct):
V 0.000 0.156 0.136
O 0.500 0.702 0.884
V 0.000 0.844 0.864
O 0.000 0.910 0.223
O 0.500 0.202 0.616
V 0.000 0.656 0.364
O 0.000 0.410 0.277
O 0.000 0.000 0.000
O 0.500 0.798 0.384
O 0.000 0.090 0.777
O 0.000 0.590 0.723
O 0.000 0.500 0.500
V 0.000 0.344 0.636
O 0.500 0.298 0.116



4.
First-principles (GGA-PBEsol) data for a relaxed structure of SrLiAlSb2, as listed in Alexandria via LeMat-Bulk.

Output
SG	P3m1, No. 156
crystal system	trigonal
formation energy from raw total energies	-610	meV/atom

a = 4.525 Å, b = 4.525 Å, c = 7.735 Å
α = 90.00°, β = 90.00°, γ = 120.00°
Positions (direct):
Sb 0.333 0.667 0.261
Sr 0.667 0.333 0.975
Li 0.333 0.667 0.633
Sb 0.000 0.000 0.734
Al 0.000 0.000 0.397



Number 4 is which compound?
SrLiAlSb2



Copy entry 1 word for word.
First-principles (GGA-PBEsol) data for a relaxed structure of SiTeW2, as listed in Alexandria via LeMat-Bulk.

Output
distance to the lowest polymorph of the same formula	0.00	eV per formula unit
SG	Imm2, No. 44
crystal system	orthorhombic
formation energy from raw total energies	358	meV/atom

a = 3.278 Å, b = 3.535 Å, c = 6.504 Å
α = 105.77°, β = 104.59°, γ = 90.00°
Positions (direct):
Te 0.294 0.794 0.588
Si 0.541 0.541 0.082
W 0.684 0.184 0.368
W 0.981 0.981 0.962